Crystalline BaAlCd3 at its relaxed geometry. Source: Alexandria via LeMat-Bulk, functional PBE-GGA.

Cell lengths 7.178, 11.364, 6.803 Å; angles 90.00, 90.00, 90.00 degrees
Space group Cmcm (No. 63)
One atom of each set of equivalent atoms:
1 Ba 0.000 0.231 0.250 [4 per cell]
2 Al 0.000 0.354 0.750 [4 per cell]
3 Cd 0.000 0.114 0.750 [4 per cell]
4 Cd 0.213 0.500 0.000 [8 per cell]

Results
Its crystal system is orthorhombic. As for the formation energy: -250.4 meV per atom. Its magnetization is 0.00 μB per formula unit. Its distance to the lowest polymorph of the same formula is 0 meV/atom.



Crystalline AgSBrO4 at its relaxed geometry. Source: Alexandria via LeMat-Bulk, functional PBE-GGA.

Cell lengths 13.742, 6.324, 6.067 Å; angles 90.00, 105.66, 90.00 degrees
Space group C2/m (No. 12)
One atom of each set of equivalent atoms:
1 Ag 0.230 0.000 0.327 [4 per cell]
2 S 0.157 0.000 0.750 [4 per cell]
3 Br 0.030 0.500 0.195 [4 per cell]
4 O 0.057 0.000 0.790 [4 per cell]
5 O 0.172 0.186 0.602 [8 per cell]
6 O 0.241 0.000 0.964 [4 per cell]

Results
Its crystal system is monoclinic. Its magnetization is 0.24 μB per formula unit. The calculation puts the formation energy (no corrections) at -0.68 eV per atom.



Crystalline Sr2AgSn3Pd4 at its relaxed geometry. Source: Alexandria via LeMat-Bulk, functional PBE-GGA.

Cell lengths 4.674, 4.674, 10.762 Å; angles 90.00, 90.00, 90.00 degrees
Space group P-4m2 (No. 115)
One atom of each set of equivalent atoms:
1 Sr 0.000 0.500 0.249 [2 per cell]
2 Ag 0.500 0.500 0.000 [1 per cell]
3 Sn 0.000 0.000 0.000 [1 per cell]
4 Sn 0.000 0.500 0.621 [2 per cell]
5 Pd 0.000 0.000 0.500 [1 per cell]
6 Pd 0.000 0.500 0.866 [2 per cell]
7 Pd 0.500 0.500 0.500 [1 per cell]

Results
Its crystal system is tetragonal. As for the formation energy: -641.0 meV per atom. Its magnetization is 0.00 μB per formula unit.



Crystalline NdIn6Pb at its relaxed geometry. Source: Alexandria via LeMat-Bulk, functional PBE-GGA.

Cell lengths 6.920, 6.920, 4.561 Å; angles 90.00, 90.00, 90.00 degrees
Space group P4/mmm (No. 123)
One atom of each set of equivalent atoms:
1 Nd 0.000 0.000 0.000 [1 per cell]
2 In 0.000 0.500 0.000 [2 per cell]
3 In 0.251 0.251 0.500 [4 per cell]
4 Pb 0.500 0.500 0.000 [1 per cell]

Results
Its crystal system is tetragonal. As for the formation energy: -161.5 meV per atom. Its magnetization is 0.00 μB per formula unit.



Crystalline CsNaAgH3 at its relaxed geometry. Source: Alexandria via LeMat-Bulk, functional PBE-GGA.

Cell lengths 8.153, 3.807, 8.574 Å; angles 90.00, 110.42, 90.00 degrees
Space group P2_1/m (No. 11)
One atom of each set of equivalent atoms:
1 Cs 0.249 0.250 0.239 [2 per cell]
2 Na 0.143 0.250 0.644 [2 per cell]
3 Ag 0.365 0.750 0.934 [2 per cell]
4 H 0.137 0.750 0.860 [2 per cell]
5 H 0.163 0.750 0.474 [2 per cell]
6 H 0.449 0.250 0.859 [2 per cell]

Results
Its crystal system is monoclinic. Its magnetization is 0.00 μB per formula unit. The energy comes out at -2.581 eV/atom.



Crystalline Li6PdAu2 at its relaxed geometry. Source: Alexandria via LeMat-Bulk, functional PBE-GGA.

Cell lengths 4.301, 6.072, 12.999 Å; angles 90.00, 90.00, 90.00 degrees
Space group Immm (No. 71)
One atom of each set of equivalent atoms:
1 Li 0.000 0.239 0.000 [4 per cell]
2 Li 0.000 0.256 0.337 [8 per cell]
3 Pd 0.000 0.500 0.500 [2 per cell]
4 Au 0.000 0.500 0.166 [4 per cell]

Results
Its crystal system is orthorhombic. As for the formation energy: -267.6 meV per atom. Its magnetization is 0.00 μB per formula unit. Its distance to the lowest polymorph of the same formula is 159 meV/atom.